<A>
Density functional theory data (PBE) for a relaxed structure of BaBeNiSn.

Space group = F-43m
Size of the total moment = 0.2 μB/f.u.

abc: 5.0676 5.0676 5.0676
angles: 60.00 60.00 60.00
Last column: nearest neighbours and their distance in Å.
Positions (direct):
Ba1 0.2500 0.2500 0.2500  4 Ni 3.10, 4 Sn 3.10
Be1 0.7500 0.7500 0.7500  4 Ni 3.10, 4 Sn 3.10
Ni1 0.5000 0.5000 0.5000  4 Be 3.10, 4 Ba 3.10
Sn1 0.0000 0.0000 0.0000  4 Be 3.10, 4 Ba 3.10

---

<B>
Density functional theory data (PBE) for a relaxed structure of BaBeNiSn.

Space group = F-43m
Size of the total moment = 0.0 μB/f.u.

abc: 4.9502 4.9502 4.9502
angles: 60.00 60.00 60.00
Last column: nearest neighbours and their distance in Å.
Positions (direct):
Ba1 0.5000 0.5000 0.5000  4 Ni 3.03, 4 Be 3.03
Be1 0.7500 0.7500 0.7500  4 Sn 3.03, 4 Ba 3.03
Ni1 0.2500 0.2500 0.2500  4 Ba 3.03, 4 Sn 3.03
Sn1 0.0000 0.0000 0.0000  4 Be 3.03, 4 Ni 3.03

---

Of them, <B> has the highest stability.

---

<A>
Density functional theory data (PBE) for a relaxed structure of BaBeTeOs.

Space group = F-43m
Size of the total moment = 1.4 μB/f.u.

abc: 5.1144 5.1144 5.1144
angles: 60.00 60.00 60.00
Last column: nearest neighbours and their distance in Å.
Positions (direct):
Ba1 0.2500 0.2500 0.2500  4 Os 3.13, 4 Te 3.13
Be1 0.7500 0.7500 0.7500  4 Te 3.13, 4 Os 3.13
Os1 0.0000 0.0000 0.0000  4 Be 3.13, 4 Ba 3.13
Te1 0.5000 0.5000 0.5000  4 Be 3.13, 4 Ba 3.13

---

<B>
Density functional theory data (PBE) for a relaxed structure of BaBeTeOs.

Space group = F-43m
Size of the total moment = 0.0 μB/f.u.

abc: 4.9693 4.9693 4.9693
angles: 60.00 60.00 60.00
Last column: nearest neighbours and their distance in Å.
Positions (direct):
Ba1 0.5000 0.5000 0.5000  4 Te 3.04, 4 Be 3.04
Be1 0.7500 0.7500 0.7500  4 Ba 3.04, 4 Os 3.04
Os1 0.0000 0.0000 0.0000  4 Te 3.04, 4 Be 3.04
Te1 0.2500 0.2500 0.2500  4 Os 3.04, 4 Ba 3.04

---

Of them, <B> has the highest stability.

---

<A>
Density functional theory data (PBE) for a relaxed structure of BaBeOsW.

Space group = F-43m
Size of the total moment = 0.2 μB/f.u.

abc: 4.6207 4.6207 4.6207
angles: 60.00 60.00 60.00
Last column: nearest neighbours and their distance in Å.
Positions (direct):
Ba1 0.2500 0.2500 0.2500  4 W 2.83, 4 Os 2.83
Be1 0.7500 0.7500 0.7500  4 W 2.83, 4 Os 2.83
Os1 0.0000 0.0000 0.0000  4 Be 2.83, 4 Ba 2.83
W1 0.5000 0.5000 0.5000  4 Be 2.83, 4 Ba 2.83

---

<B>
Density functional theory data (PBE) for a relaxed structure of BaBeOsW.

Space group = F-43m
Size of the total moment = 0.5 μB/f.u.

abc: 4.7694 4.7694 4.7694
angles: 60.00 60.00 60.00
Last column: nearest neighbours and their distance in Å.
Positions (direct):
Ba1 0.0000 0.0000 0.0000  4 Be 2.92, 4 Os 2.92
Be1 0.7500 0.7500 0.7500  4 W 2.92, 4 Ba 2.92
Os1 0.2500 0.2500 0.2500  4 W 2.92, 4 Ba 2.92
W1 0.5000 0.5000 0.5000  4 Os 2.92, 4 Be 2.92

---

Of them, <B> has the highest stability.

---

<A>
Density functional theory data (PBE) for a relaxed structure of BaBePdPb.

Space group = F-43m

abc: 5.1427 5.1427 5.1427
angles: 60.00 60.00 60.00
Last column: nearest neighbours and their distance in Å.
Positions (direct):
Ba1 0.0000 0.0000 0.0000  4 Pd 3.15, 4 Be 3.15
Be1 0.7500 0.7500 0.7500  4 Ba 3.15, 4 Pb 3.15
Pb1 0.5000 0.5000 0.5000  4 Pd 3.15, 4 Be 3.15
Pd1 0.2500 0.2500 0.2500  4 Pb 3.15, 4 Ba 3.15

---

<B>
Density functional theory data (PBE) for a relaxed structure of BaBePdPb.

Space group = F-43m

abc: 5.2091 5.2091 5.2091
angles: 60.00 60.00 60.00
Last column: nearest neighbours and their distance in Å.
Positions (direct):
Ba1 0.2500 0.2500 0.2500  4 Pb 3.19, 4 Pd 3.19
Be1 0.7500 0.7500 0.7500  4 Pb 3.19, 4 Pd 3.19
Pb1 0.5000 0.5000 0.5000  4 Ba 3.19, 4 Be 3.19
Pd1 0.0000 0.0000 0.0000  4 Be 3.19, 4 Ba 3.19

---

Of them, <A> has the highest stability.